# NaPrCdPb

NaPrCdPb after structural relaxation (PBE-GGA, the Alexandria database).

Geometry as POSCAR:
```
NaPrCdPb
1.0
5.4404 0.0000 0.0000
2.7202 4.7115 0.0000
2.7202 1.5705 4.4421
Pb Pr Na Cd
1 1 1 1
direct
0.7500 0.7500 0.7500 Pb
0.5000 0.5000 0.5000 Pr
0.0000 0.0000 0.0000 Na
0.2500 0.2500 0.2500 Cd
```

Values from the calculation:
The value obtained for the formation enthalpy at 0 K is -0.3173 eV per atom. The space-group type is F-43m (216). Its energy is -2.998 eV per atom. As for the calculated volume: 113.9 Å³/cell. The total magnetic moment is 0.0 μB per cell.

***

# Tl2CrRe

Tl2CrRe after structural relaxation (PBE-GGA, the Alexandria database).

Geometry as POSCAR:
```
Tl2CrRe
1.0
-1.5302 -2.2887 1.3498
2.3459 -1.8692 -0.5101
4.5716 1.2565 7.3131
Cr Re Tl
1 1 2
direct
0.0000 0.4126 0.5498 Cr
0.5000 0.8418 0.6921 Re
0.0000 0.2096 0.9543 Tl
0.5000 0.0361 0.3038 Tl
```

Values from the calculation:
The value obtained for the formation enthalpy at 0 K is 0.5158 eV per atom. The space-group type is Amm2 (38). Its energy is -6.185 eV per atom. As for the calculated volume: 80.0 Å³/cell. The total magnetic moment is 0.1 μB per cell.

***

# SiPdC3

SiPdC3 after structural relaxation (PBE-GGA, the Alexandria database).

Geometry as POSCAR:
```
SiPdC3
1.0
4.0317 0.0000 0.0000
0.0000 4.0317 0.0000
0.0000 0.0000 4.0317
Si C Pd
1 3 1
direct
0.5000 0.5000 0.5000 Si
0.0000 0.5000 0.0000 C
0.0000 0.0000 0.5000 C
0.5000 0.0000 0.0000 C
0.0000 0.0000 0.0000 Pd
```

Values from the calculation:
Its uncorrected formation energy is 2817 meV per atom. The space-group type is Pm-3m (221). Its energy is -4.840 eV per atom. As for the calculated volume: 65.5 Å³/cell. The total magnetic moment is 0.0 μB per cell.

***

# BaMgTc

BaMgTc after structural relaxation (PBE-GGA, the Alexandria database).

Geometry as POSCAR:
```
BaMgTc
1.0
4.9632 0.0000 0.0000
2.4816 4.2982 0.0000
2.4816 1.4327 4.0524
Ba Mg Tc
1 1 1
direct
0.0000 0.0000 0.0000 Ba
0.5000 0.5000 0.5000 Mg
0.7500 0.7500 0.7500 Tc
```

Values from the calculation:
The value obtained for the formation enthalpy at 0 K is 0.9794 eV per atom. The space-group type is F-43m (216). Its energy is -3.648 eV per atom. As for the calculated volume: 86.4 Å³/cell. The total magnetic moment is 1.0 μB per cell.

***

# CeYN

CeYN after structural relaxation (PBE-GGA, the Alexandria database).

Geometry as POSCAR:
```
CeYN
1.0
-3.2320 1.7840 2.1883
-0.0679 -0.2180 4.2855
0.6844 3.5322 2.3393
Y Ce N
1 1 1
direct
0.5000 0.5000 0.5000 Y
0.0000 0.0000 0.0000 Ce
0.2500 0.2500 0.2500 N
```

Values from the calculation:
Its uncorrected formation energy is -332 meV per atom. The space-group type is F-43m (216). Its energy is -7.240 eV per atom. As for the calculated volume: 55.9 Å³/cell. The total magnetic moment is 0.6 μB per cell.

***

# Sr2Ca5Zn2

Sr2Ca5Zn2 after structural relaxation (PBE-GGA, the Alexandria database).

Geometry as POSCAR:
```
Sr2Ca5Zn2
1.0
1.2717 7.2584 -2.9635
-5.2498 3.0207 5.1455
8.5972 5.1792 5.7310
Sr Ca Zn
4 10 4
direct
0.2338 0.0000 0.5324 Sr
0.7338 0.5000 0.5324 Sr
0.7662 0.0000 0.4676 Sr
0.2662 0.5000 0.4676 Sr
0.0000 0.0000 0.0000 Ca
0.5000 0.5000 0.0000 Ca
0.4240 0.1789 0.7943 Ca
0.7817 0.8211 0.7943 Ca
0.2817 0.6789 0.7943 Ca
0.9240 0.3211 0.7943 Ca
0.5760 0.8211 0.2057 Ca
0.2183 0.1789 0.2057 Ca
0.7183 0.3211 0.2057 Ca
0.0760 0.6789 0.2057 Ca
0.1154 0.3840 0.0000 Zn
0.8846 0.6160 0.0000 Zn
0.3846 0.8840 0.0000 Zn
0.6154 0.1160 0.0000 Zn
```

Values from the calculation:
The value obtained for the formation enthalpy at 0 K is -0.0826 eV per atom. The space-group type is Cmce (64). Its energy is -1.851 eV per atom. As for the calculated volume: 685.1 Å³/cell. The total magnetic moment is 0.0 μB per cell.